Density functional theory data (meta-GGA SCAN) for a PBEsol-optimized structure of CuPt2.

POSCAR file:
```
CuPt2
1.0
-1.361 1.361 5.583
1.361 -1.361 5.583
1.361 1.361 -5.583
Cu Pt
1 2
Cartesian
0.000 0.000 0.000
0.000 0.000 3.797
0.000 0.000 7.369
```

Computed properties:
calculated density: 18.2 Mg/m³
DOS at the Fermi energy: 1.22 states/eV per atom
VASP energy: -155.9 eV per cell
total magnetization: 0.00 Bohr magnetons per cell